No. 1
A relaxed LaMoPt2 crystal. Source: Alexandria, functional PBE-GGA.

Properties
Its space group is Fm-3m (225). The energy above the most stable polymorph in this dataset is 355 meV/atom. The magnetic moment comes out at 0.818 μB/atom. The value obtained for the formation energy is -0.152 eV per atom. As for the total energy: -7.112 eV per atom.

abc: 6.902 6.902 6.902
angles: 90.00 90.00 90.00
Fractional coordinates of all 16 atoms:
La 0.000 0.000 0.000
La 0.000 0.500 0.500
La 0.500 0.000 0.500
La 0.500 0.500 0.000
Mo 0.000 0.000 0.500
Mo 0.000 0.500 0.000
Mo 0.500 0.000 0.000
Mo 0.500 0.500 0.500
Pt 0.250 0.250 0.250
Pt 0.250 0.250 0.750
Pt 0.250 0.750 0.250
Pt 0.250 0.750 0.750
Pt 0.750 0.250 0.250
Pt 0.750 0.250 0.750
Pt 0.750 0.750 0.250
Pt 0.750 0.750 0.750

No. 2
A relaxed Y2Si7Ir12 crystal. Source: Alexandria, functional PBE-GGA.

Properties
Its space group is P-3 (147). The value obtained for the energy relative to the elements, uncorrected is -0.838 eV/atom. The magnetic moment comes out at 0.000 μB/atom. As for the total energy: -8.324 eV per atom.

abc: 9.749 9.749 3.895
angles: 90.00 90.00 120.00
Fractional coordinates of all 21 atoms:
Y 0.333 0.667 0.249
Y 0.667 0.333 0.751
Si 0.000 0.000 0.000
Si 0.115 0.405 0.748
Si 0.290 0.885 0.748
Si 0.405 0.290 0.252
Si 0.595 0.710 0.748
Si 0.710 0.115 0.252
Si 0.885 0.595 0.252
Ir 0.062 0.619 0.749
Ir 0.117 0.855 0.246
Ir 0.145 0.262 0.246
Ir 0.262 0.117 0.754
Ir 0.381 0.444 0.749
Ir 0.444 0.062 0.251
Ir 0.556 0.938 0.749
Ir 0.619 0.556 0.251
Ir 0.738 0.883 0.246
Ir 0.855 0.738 0.754
Ir 0.883 0.145 0.754
Ir 0.938 0.381 0.251

No. 3
A relaxed YRhN2 crystal. Source: Alexandria, functional PBE-GGA.

Properties
Its space group is Fm-3m (225). The energy above the most stable polymorph in this dataset is 350 meV/atom. The value obtained for the energy relative to the elements, uncorrected is 0.011 eV/atom. The magnetic moment comes out at 0.000 μB/atom. As for the total energy: -7.605 eV per atom.

abc: 5.733 5.733 5.733
angles: 90.00 90.00 90.00
Fractional coordinates of all 16 atoms:
Y 0.000 0.000 0.000
Y 0.000 0.500 0.500
Y 0.500 0.000 0.500
Y 0.500 0.500 0.000
Rh 0.000 0.000 0.500
Rh 0.000 0.500 0.000
Rh 0.500 0.000 0.000
Rh 0.500 0.500 0.500
N 0.250 0.250 0.250
N 0.250 0.250 0.750
N 0.250 0.750 0.250
N 0.250 0.750 0.750
N 0.750 0.250 0.250
N 0.750 0.250 0.750
N 0.750 0.750 0.250
N 0.750 0.750 0.750

No. 4
A relaxed In2SbAu crystal. Source: Alexandria, functional PBE-GGA.

Properties
Its space group is I-42d (122). The energy above the most stable polymorph in this dataset is 138 meV/atom. The value obtained for the energy relative to the elements, uncorrected is 0.061 eV/atom. The magnetic moment comes out at 0.000 μB/atom. As for the total energy: -3.158 eV per atom.

abc: 7.054 7.054 10.482
angles: 90.00 90.00 90.00
Fractional coordinates of all 16 atoms:
In 0.234 0.250 0.125
In 0.250 0.734 0.375
In 0.250 0.766 0.875
In 0.266 0.250 0.625
In 0.734 0.750 0.625
In 0.750 0.234 0.875
In 0.750 0.266 0.375
In 0.766 0.750 0.125
Sb 0.000 0.000 0.500
Sb 0.000 0.500 0.750
Sb 0.500 0.000 0.250
Sb 0.500 0.500 0.000
Au 0.000 0.000 0.000
Au 0.000 0.500 0.250
Au 0.500 0.000 0.750
Au 0.500 0.500 0.500

No. 5
A relaxed K2MgIn2 crystal. Source: Alexandria, functional PBE-GGA.

Properties
Its space group is I4/mmm (139). The energy above the most stable polymorph in this dataset is 109 meV/atom. The magnetic moment comes out at 0.000 μB/atom. The value obtained for the formation energy is 0.123 eV per atom. As for the total energy: -1.730 eV per atom.

abc: 4.258 4.258 22.961
angles: 90.00 90.00 90.00
Fractional coordinates of all 10 atoms:
K 0.000 0.000 0.111
K 0.000 0.000 0.889
K 0.500 0.500 0.389
K 0.500 0.500 0.611
Mg 0.000 0.000 0.500
Mg 0.500 0.500 0.000
In 0.000 0.500 0.250
In 0.000 0.500 0.750
In 0.500 0.000 0.250
In 0.500 0.000 0.750

No. 6
A relaxed Li3ErNp3S8 crystal. Source: Alexandria, functional PBE-GGA.

Properties
Its space group is R-3m (166). The value obtained for the energy relative to the elements, uncorrected is -1.468 eV/atom. The magnetic moment comes out at 0.733 μB/atom. As for the total energy: -6.945 eV per atom.

abc: 7.626 7.626 7.626
angles: 62.28 62.28 62.28
Fractional coordinates of all 15 atoms:
Li 0.000 0.500 0.500
Li 0.500 0.000 0.500
Li 0.500 0.500 0.000
Er 0.500 0.500 0.500
Np 0.000 0.000 0.500
Np 0.000 0.500 0.000
Np 0.500 0.000 0.000
S 0.250 0.250 0.250
S 0.251 0.747 0.747
S 0.253 0.253 0.749
S 0.253 0.749 0.253
S 0.747 0.251 0.747
S 0.747 0.747 0.251
S 0.749 0.253 0.253
S 0.750 0.750 0.750

No. 7
A relaxed Zr2CuPd8 crystal. Source: Alexandria, functional PBE-GGA.

Properties
Its space group is Immm (71). The magnetic moment comes out at 0.000 μB/atom. The value obtained for the formation energy is -0.475 eV per atom. As for the total energy: -6.179 eV per atom.

abc: 7.739 7.739 7.739
angles: 146.23 134.24 58.07
Fractional coordinates of all 11 atoms:
Zr 0.190 0.190 0.000
Zr 0.810 0.810 0.000
Cu 0.500 0.500 0.000
Pd 0.096 0.363 0.733
Pd 0.239 0.000 0.239
Pd 0.322 0.822 0.500
Pd 0.370 0.637 0.733
Pd 0.630 0.363 0.267
Pd 0.678 0.178 0.500
Pd 0.761 0.000 0.761
Pd 0.904 0.637 0.267

No. 8
A relaxed RbBrN3 crystal. Source: Alexandria, functional PBE-GGA.

Properties
Its space group is Cm (8). The value obtained for the energy relative to the elements, uncorrected is 2.440 eV/atom. The magnetic moment comes out at 1.800 μB/atom. As for the total energy: -3.083 eV per atom.

abc: 6.952 6.937 8.648
angles: 90.00 106.43 90.00
Fractional coordinates of all 10 atoms:
Rb 0.000 0.000 0.000
Rb 0.500 0.500 0.000
Br 0.499 0.000 0.995
Br 0.999 0.500 0.995
N 0.173 0.244 0.718
N 0.173 0.756 0.718
N 0.396 0.000 0.324
N 0.673 0.256 0.718
N 0.673 0.744 0.718
N 0.896 0.500 0.324

No. 9
A relaxed YMn4Ni crystal. Source: Alexandria, functional PBE-GGA.

Properties
Its space group is F-43m (216). The magnetic moment comes out at 1.287 μB/atom. The value obtained for the formation energy is 0.272 eV per atom. As for the total energy: -7.882 eV per atom.

abc: 4.938 4.938 4.938
angles: 60.00 60.00 60.00
Fractional coordinates of all 6 atoms:
Y 0.000 0.000 0.000
Mn 0.126 0.625 0.625
Mn 0.625 0.126 0.625
Mn 0.625 0.625 0.126
Mn 0.625 0.625 0.625
Ni 0.250 0.250 0.250